# Ce8Fe8As8O7F GGA+U optimized geometry
data_Ce8Fe8As8O7F
_chemical_formula_sum 'Ce16 Fe16 As16 O14 F2'
_cell_length_a 7.9343
_cell_length_b 7.9343
_cell_length_c 17.9940
_cell_angle_alpha 90.00
_cell_angle_beta 90.00
_cell_angle_gamma 90.00
_symmetry_space_group_name_H-M 'I -4 m 2'
_symmetry_Int_Tables_number 119
_symmetry_space_group_name_Hall 'I -4 -2'
loop_
_atom_site_label
_atom_site_fract_x
_atom_site_fract_y
_atom_site_fract_z
Ce1 0.0000 0.2400 0.3239
Ce2 0.0000 0.2493 0.8189
Fe1 0.0000 0.0000 0.0000
Fe2 0.0000 0.0000 0.5000
Fe3 0.0000 0.5000 0.0004
Fe4 0.2494 0.2494 0.0000
As1 0.0000 0.2505 0.0948
As2 0.0000 0.2508 0.5943
O1 0.0000 0.0000 0.2519
O2 0.0000 0.5000 0.7500
O3 0.2465 0.2535 0.2500
F1 0.0000 0.5000 0.2500
# VASP energy: -6.856 eV/atom